Entry i
A plane-wave DFT calculation with GGA-PBE was carried out for crystalline CuSnBRh2 at its relaxed geometry.

a = 4.1592 Å, b = 4.1592 Å, c = 4.0663 Å
α = 90.00°, β = 90.00°, γ = 90.00°
With the nearest neighbours (Å) after each atom.
Atoms (fractional coordinates):
Cu 0.0000 0.0000 0.0000  2 B 2.03
Sn 0.5000 0.5000 0.0000  8 Rh 2.91, 4 Cu 2.94
B 0.0000 0.0000 0.5000  2 Cu 2.03, 4 Rh 2.08
Rh 0.0000 0.5000 0.5000  2 B 2.08
Rh 0.5000 0.0000 0.5000  2 B 2.08

Calculated values
spin magnetization: 0.0 μB per formula unit
space-group type: P4/mmm (123)


Entry ii
A plane-wave DFT calculation with GGA-PBE was carried out for crystalline CuSnBRh2 at its relaxed geometry.

a = 4.0918 Å, b = 4.0918 Å, c = 4.4916 Å
α = 90.00°, β = 90.00°, γ = 90.00°
With the nearest neighbours (Å) after each atom.
Atoms (fractional coordinates):
Cu 0.0000 0.0000 0.0000  4 Sn 2.89, 8 Rh 3.04
Sn 0.5000 0.5000 0.0000  2 B 2.25
B 0.5000 0.5000 0.5000  4 Rh 2.05, 2 Sn 2.25
Rh 0.0000 0.5000 0.5000  2 B 2.05
Rh 0.5000 0.0000 0.5000  2 B 2.05

Calculated values
spin magnetization: 0.0 μB per formula unit
space-group type: P4/mmm (123)


Least stable structure: entry ii


Entry i
A plane-wave DFT calculation with GGA-PBE was carried out for crystalline Cu3BRu at its relaxed geometry.

a = 8.3621 Å, b = 8.3621 Å, c = 8.3621 Å
α = 160.08°, β = 39.99°, γ = 145.70°
With the nearest neighbours (Å) after each atom.
Atoms (fractional coordinates):
Cu 0.0000 0.0000 0.0000  10 Cu 2.42-2.59
Cu 0.1305 0.7438 0.3867  2 B 2.21, 2 Cu 2.47
Cu 0.3571 0.7438 0.6133  2 B 2.21, 2 Cu 2.47
Cu 0.4902 0.4902 0.0000  10 Cu 2.42-2.60
Cu 0.6403 0.2448 0.3955  2 B 2.13
Cu 0.8493 0.2448 0.6045  2 B 2.13
B 0.3469 0.5214 0.8255  2 Ru 2.08, 4 Cu 2.13-2.21
B 0.6959 0.5214 0.1745  2 Ru 2.08, 4 Cu 2.13-2.21
Ru 0.1964 0.9643 0.2320  2 B 2.08
Ru 0.7323 0.9643 0.7680  2 B 2.08

Calculated values
spin magnetization: 0.0 μB per formula unit
space-group type: Imm2 (44)


Entry ii
A plane-wave DFT calculation with GGA-PBE was carried out for crystalline Cu3BRu at its relaxed geometry.

a = 5.1098 Å, b = 5.1098 Å, c = 4.1617 Å
α = 101.34°, β = 101.34°, γ = 33.77°
With the nearest neighbours (Å) after each atom.
Atoms (fractional coordinates):
Cu 0.0000 0.0000 0.0000  2 B 2.08
Cu 0.2988 0.2988 0.6209  2 B 2.20-2.24
Cu 0.5673 0.5673 0.5267  1 B 2.14
B 0.3794 0.3794 0.1556  2 Ru 2.03, 5 Cu 2.08-2.24
Ru 0.7347 0.7347 0.1000  2 B 2.03

Calculated values
spin magnetization: 0.0 μB per formula unit
space-group type: Cm (8)


Entry iii
A plane-wave DFT calculation with GGA-PBE was carried out for crystalline Cu3BRu at its relaxed geometry.

a = 2.7787 Å, b = 4.2730 Å, c = 10.3216 Å
α = 91.49°, β = 97.44°, γ = 108.75°
With the nearest neighbours (Å) after each atom.
Atoms (fractional coordinates):
Cu 0.0000 0.0000 0.0000  2 B 2.13-2.14
Cu 0.0662 0.5121 0.6703  10 Cu 2.45-2.68
Cu 0.2811 0.0521 0.5633  10 Cu 2.50-2.78, 1 Ru 2.63
Cu 0.5065 0.5898 0.4561  2 B 2.18-2.19
Cu 0.6415 0.4364 0.8890  8 Cu 2.47-2.68
Cu 0.8373 0.9730 0.7648  9 Cu 2.40-2.62
B 0.6426 0.1392 0.1525  1 B 1.90
B 0.8704 0.4642 0.2956  1 B 1.90
Ru 0.1550 0.0215 0.3053  5 B 2.16-2.28
Ru 0.3538 0.5724 0.1373  5 B 2.19-2.29

Calculated values
spin magnetization: 0.0 μB per formula unit
space-group type: P1 (1)


Least stable structure: entry ii


Entry i
A plane-wave DFT calculation with GGA-PBE was carried out for crystalline CuB2Ru at its relaxed geometry.

a = 3.7671 Å, b = 3.7671 Å, c = 3.7671 Å
α = 60.00°, β = 60.00°, γ = 60.00°
With the nearest neighbours (Å) after each atom.
Atoms (fractional coordinates):
Cu 0.0000 0.0000 0.0000  8 B 2.31
B 0.2500 0.2500 0.2500  4 Ru 2.31, 4 Cu 2.31
B 0.7500 0.7500 0.7500  4 Ru 2.31, 4 Cu 2.31
Ru 0.5000 0.5000 0.5000  8 B 2.31

Calculated values
spin magnetization: 0.0 μB per formula unit
space-group type: Fm-3m (225)


Entry ii
A plane-wave DFT calculation with GGA-PBE was carried out for crystalline CuB2Ru at its relaxed geometry.

a = 5.6582 Å, b = 5.6582 Å, c = 5.6582 Å
α = 130.38°, β = 130.38°, γ = 72.80°
With the nearest neighbours (Å) after each atom.
Atoms (fractional coordinates):
Cu 0.0000 0.0000 0.0000  4 B 2.07
Cu 0.7500 0.2500 0.5000  4 B 2.07
B 0.1397 0.6250 0.0147  2 Ru 1.99, 2 Cu 2.07
B 0.3750 0.3897 0.5147  2 Ru 1.99, 2 Cu 2.07
B 0.6103 0.1250 0.9853  2 Ru 1.99, 2 Cu 2.07
B 0.8750 0.8603 0.4853  2 Ru 1.99, 2 Cu 2.07
Ru 0.2500 0.7500 0.5000  4 B 1.99
Ru 0.5000 0.5000 0.0000  4 B 1.99

Calculated values
spin magnetization: 0.0 μB per formula unit
space-group type: I-42d (122)


Least stable structure: entry ii


Entry i
A plane-wave DFT calculation with GGA-PBE was carried out for crystalline CuB3Ru at its relaxed geometry.

a = 4.0227 Å, b = 4.0227 Å, c = 4.0227 Å
α = 90.00°, β = 90.00°, γ = 90.00°
With the nearest neighbours (Å) after each atom.
Atoms (fractional coordinates):
Cu 0.0000 0.0000 0.0000  12 B 2.84
B 0.0000 0.5000 0.5000  2 Ru 2.01
B 0.5000 0.0000 0.5000  2 Ru 2.01
B 0.5000 0.5000 0.0000  2 Ru 2.01
Ru 0.5000 0.5000 0.5000  6 B 2.01

Calculated values
spin magnetization: 0.0 μB per formula unit
space-group type: Pm-3m (221)


Entry ii
A plane-wave DFT calculation with GGA-PBE was carried out for crystalline CuB3Ru at its relaxed geometry.

a = 3.7369 Å, b = 3.7369 Å, c = 3.7369 Å
α = 90.00°, β = 90.00°, γ = 90.00°
With the nearest neighbours (Å) after each atom.
Atoms (fractional coordinates):
Cu 0.0000 0.0000 0.0000  6 B 1.87
B 0.0000 0.0000 0.5000  2 Cu 1.87
B 0.0000 0.5000 0.0000  2 Cu 1.87
B 0.5000 0.0000 0.0000  2 Cu 1.87
Ru 0.5000 0.5000 0.5000  12 B 2.64

Calculated values
spin magnetization: 0.0 μB per formula unit
space-group type: Pm-3m (221)


Least stable structure: entry ii